Below is a relaxed Li2PrMgCd5 crystal, with properties calculated at the PBE level.

DFT formation energy, eV/atom: -0.16
E_tot, eV/atom: -1.802
Spin magnetization, μB/cell: 0.0

abc: 5.040 5.040 7.824
angles: 90.00 90.00 90.00
Space group P4/mmm (No. 123)
One atom of each set of equivalent atoms:
Li: 0.000 0.000 0.153 [2 per cell]
Pr: 0.500 0.500 0.500 [1 per cell]
Mg: 0.500 0.500 0.000 [1 per cell]
Cd: 0.000 0.000 0.500 [1 per cell]
Cd: 0.000 0.500 0.232 [4 per cell]